Entry 1:
## Sr2Ag2Ir (PBE-GGA)

Data for a geometry-optimized Sr2Ag2Ir structure.

Computed properties:
ΔE_f: 0.004 eV/atom
E_tot: -35.82 eV per cell

Lattice parameters (Å, degrees): 7.3522 7.3522 4.7024 90.00 90.00 90.00
Fractional coordinates of all 10 atoms:
Sr 0.1836 0.6836 0.5000
Sr 0.6836 0.8164 0.5000
Sr 0.8164 0.3164 0.5000
Sr 0.3164 0.1836 0.5000
Ir 0.0000 0.0000 0.0000
Ir 0.5000 0.5000 0.0000
Ag 0.3658 0.8658 0.0000
Ag 0.8658 0.6342 0.0000
Ag 0.6342 0.1342 0.0000
Ag 0.1342 0.3658 0.0000

***

Entry 2:
## Th2OsPd (PBE-GGA)

Data for a geometry-optimized Th2OsPd structure.

Computed properties:
ΔE_f: 0.257 eV/atom
E_tot: -30.23 eV per cell

Lattice parameters (Å, degrees): 3.2856 3.2856 10.2876 80.81 80.81 60.00
Fractional coordinates of all 4 atoms:
Os 0.5000 0.5000 0.5000
Pd 0.0000 0.0000 0.0000
Th 0.0902 0.0902 0.7295
Th 0.9098 0.9098 0.2705

***

Entry 3:
## SmYSi (PBE-GGA)

Data for a geometry-optimized SmYSi structure.

Computed properties:
E_tot: -18.04 eV per cell
E_form (uncorrected): -477 meV/atom

Lattice parameters (Å, degrees): 4.9084 4.9084 4.9084 60.00 60.00 60.00
Fractional coordinates of all 3 atoms:
Y 0.0000 0.0000 0.0000
Si 0.2500 0.2500 0.2500
Sm 0.5000 0.5000 0.5000

***

Entry 4:
## Pm3Sn2Ge2 (PBE-GGA)

Data for a geometry-optimized Pm3Sn2Ge2 structure.

Computed properties:
ΔE_f: -0.621 eV/atom
energy relative to the lowest polymorph listed for this composition: 53 meV/atom
E_tot: -35.84 eV per cell

Lattice parameters (Å, degrees): 4.0903 5.9294 8.7711 104.27 76.44 110.22
Fractional coordinates of all 7 atoms:
Pm 0.0000 0.0000 0.0000
Pm 0.6071 0.5213 0.3051
Pm 0.3929 0.4787 0.6949
Sn 0.1515 0.8950 0.5915
Sn 0.8485 0.1050 0.4085
Ge 0.7206 0.3743 0.9325
Ge 0.2794 0.6257 0.0675